Density functional theory data (GGA+U) for a geometry-optimized PaZn2CrO6 structure.

Total magnetization = 2.84 μB/cell
Calculated total energy = -67.6 eV/cell
Space group = P4mm (99)
Crystal system = tetragonal

Cell and atoms, written as POSCAR:
```
PaZn2CrO6
1.0
-1.4806 1.2745 -3.6899
-0.2852 -5.6112 -1.8237
-5.5158 -0.3947 2.0769
O Zn Pa Cr
6 2 1 1
Direct
0.1735 0.5000 0.5000 O
0.7350 0.2406 0.2406 O
0.2215 0.0000 0.0000 O
0.7350 0.7594 0.2406 O
0.7350 0.2406 0.7594 O
0.7350 0.7594 0.7594 O
0.8749 0.5000 0.0000 Zn
0.8749 0.0000 0.5000 Zn
0.6626 0.5000 0.5000 Pa
0.6993 0.0000 0.0000 Cr
```